[1]
A plane-wave DFT calculation with GGA-PBE was carried out for a geometry-optimized HgSb2As structure.

Values from the calculation:
Formation energy (no corrections) (meV/atom): 274
Total DFT energy (no corrections) (eV per atom): -3.025
Volume (Å³/atom): 25.57
SG: Cmm2, No. 35

Unit cell a=3.2751 b=3.2751 c=10.3184 alpha=90.00 beta=90.00 gamma=112.48
Element x y z (fractional)
As 0.0000 0.0000 0.4836
Sb 0.5000 0.5000 0.2757
Hg 0.5000 0.5000 0.7363
Sb 0.0000 0.0000 0.0044

***

[2]
A plane-wave DFT calculation with GGA-PBE was carried out for a geometry-optimized CoRe2Si structure.

Values from the calculation:
Formation energy (no corrections) (meV/atom): -142
Total DFT energy (no corrections) (eV per atom): -9.499
Volume (Å³/atom): 13.08
SG: Amm2, No. 38

Unit cell a=3.9722 b=2.7477 c=4.9850 alpha=74.01 beta=90.00 gamma=90.00
Element x y z (fractional)
Re 0.5000 0.3054 0.2649
Si 0.0000 0.6817 0.5107
Co 0.5000 0.5687 0.7379
Re 0.0000 0.9442 0.9866

***

[3]
A plane-wave DFT calculation with GGA-PBE was carried out for a geometry-optimized MgTc structure.

Values from the calculation:
Total DFT energy (no corrections) (eV per atom): -5.865
Volume (Å³/atom): 16.79
Calculated formation energy (eV/atom): 0.11
SG: C2/m, No. 12

Unit cell a=5.1507 b=5.1507 c=7.0347 alpha=70.90 beta=70.90 gamma=35.07
Element x y z (fractional)
Mg 0.5000 0.5000 0.5000
Mg 0.8248 0.8248 0.3071
Tc 0.5000 0.5000 0.0000
Tc 0.1609 0.1609 0.1337
Mg 0.1752 0.1752 0.6929
Tc 0.8391 0.8391 0.8663

***

[4]
A plane-wave DFT calculation with GGA-PBE was carried out for a geometry-optimized CaCoP2 structure.

Values from the calculation:
Total DFT energy (no corrections) (eV per atom): -5.656
Volume (Å³/atom): 16.68
Calculated formation energy (eV/atom): -0.67
SG: R3m, No. 160

Unit cell a=6.0607 b=6.0607 c=6.0607 alpha=35.40 beta=35.40 gamma=35.40
Element x y z (fractional)
P 0.2830 0.2830 0.2830
Co 0.6738 0.6738 0.6738
Ca 0.4934 0.4934 0.4934
P 0.0497 0.0497 0.0497

***

[5]
A plane-wave DFT calculation with GGA-PBE was carried out for a geometry-optimized LiThPt structure.

Values from the calculation:
Total DFT energy (no corrections) (eV per atom): -5.718
Volume (Å³/atom): 21.95
Calculated formation energy (eV/atom): -0.59
SG: I4mm, No. 107

Unit cell a=3.8507 b=3.8507 c=5.2093 alpha=111.69 beta=111.69 gamma=90.00
Element x y z (fractional)
Pt 0.9662 0.9662 0.9324
Th 0.5994 0.5994 0.1988
Li 0.2844 0.2844 0.5688

***

[6]
A plane-wave DFT calculation with GGA-PBE was carried out for a geometry-optimized Y4HfN5 structure.

Values from the calculation:
Formation energy (no corrections) (meV/atom): -1729
Total DFT energy (no corrections) (eV per atom): -9.473
Volume (Å³/atom): 14.10
SG: I4, No. 79

Unit cell a=4.8448 b=5.9136 c=5.9136 alpha=80.34 beta=65.82 gamma=65.82
Element x y z (fractional)
N 0.9076 0.3775 0.8107
Y 0.8008 0.8012 0.5999
Y 0.4007 0.4001 0.8012
N 0.7183 0.1893 0.3775
Hf 0.0151 0.0000 0.0000
N 0.0959 0.6225 0.1893
N 0.4828 0.0000 0.0000
Y 0.2019 0.1988 0.4001
N 0.2852 0.8107 0.6225
Y 0.6020 0.5999 0.1988

***

[7]
A plane-wave DFT calculation with GGA-PBE was carried out for a geometry-optimized InCS2 structure.

Values from the calculation:
Formation energy (no corrections) (meV/atom): 1554
Total DFT energy (no corrections) (eV per atom): -3.500
Volume (Å³/atom): 16.34
SG: Fm-3m, No. 225

Unit cell a=4.5214 b=4.5214 c=4.5214 alpha=60.00 beta=60.00 gamma=60.00
Element x y z (fractional)
C 0.0000 0.0000 0.0000
S 0.2500 0.2500 0.2500
In 0.5000 0.5000 0.5000
S 0.7500 0.7500 0.7500

***

[8]
A plane-wave DFT calculation with GGA-PBE was carried out for a geometry-optimized BaMg2GeIr structure.

Values from the calculation:
Total DFT energy (no corrections) (eV per atom): -4.097
Volume (Å³/atom): 25.25
Calculated formation energy (eV/atom): -0.38
SG: P4/mmm, No. 123

Unit cell a=5.1272 b=5.1272 c=4.8017 alpha=90.00 beta=90.00 gamma=90.00
Element x y z (fractional)
Ba 0.5000 0.5000 0.5000
Ge 0.0000 0.0000 0.5000
Ir 0.0000 0.0000 0.0000
Mg 0.5000 0.0000 0.0000
Mg 0.0000 0.5000 0.0000

***

The highest total DFT energy (no corrections) belongs to which entry? HgSb2As